Entry 1:
VASP calculation (GGA-PBEsol) on an optimized crystal structure of ErB4.

Results
The energy of formation from the pure elements comes out at -0.63 eV/atom.

a b c (Å): 7.025 7.025 3.963
angles (deg): 90.00 90.00 90.00
Fractional coordinates of all 20 atoms:
Er 0.183 0.317 0.000
Er 0.317 0.817 0.000
Er 0.683 0.183 0.000
Er 0.817 0.683 0.000
B 0.000 0.000 0.203
B 0.000 0.000 0.797
B 0.039 0.823 0.500
B 0.087 0.587 0.500
B 0.177 0.039 0.500
B 0.323 0.539 0.500
B 0.413 0.087 0.500
B 0.461 0.323 0.500
B 0.500 0.500 0.203
B 0.500 0.500 0.797
B 0.539 0.677 0.500
B 0.587 0.913 0.500
B 0.677 0.461 0.500
B 0.823 0.961 0.500
B 0.913 0.413 0.500
B 0.961 0.177 0.500

---

Entry 2:
VASP calculation (GGA-PBEsol) on an optimized crystal structure of PrCuGe.

Results
The energy of formation from the pure elements comes out at -0.64 eV/atom.

a b c (Å): 4.169 4.169 4.092
angles (deg): 90.00 90.00 120.00
Fractional coordinates of all 3 atoms:
Pr 0.000 0.000 0.000
Cu 0.667 0.333 0.500
Ge 0.333 0.667 0.500

---

Entry 3:
VASP calculation (GGA-PBEsol) on an optimized crystal structure of NaGa2Pt2.

Results
The energy of formation from the pure elements comes out at -0.48 eV/atom. As for the energy above the most stable polymorph in this dataset: 0.114 eV per atom.

a b c (Å): 6.216 6.216 6.216
angles (deg): 141.78 141.78 55.15
Fractional coordinates of all 5 atoms:
Na 0.000 0.000 0.000
Ga 0.250 0.750 0.500
Ga 0.750 0.250 0.500
Pt 0.382 0.382 0.000
Pt 0.618 0.618 0.000

---

Entry 4:
VASP calculation (GGA-PBEsol) on an optimized crystal structure of TaTe3Au.

Results
The value obtained for the energy relative to the elements, uncorrected is 0.55 eV per atom.

a b c (Å): 5.293 5.293 5.293
angles (deg): 90.00 90.00 90.00
Fractional coordinates of all 5 atoms:
Ta 0.000 0.000 0.000
Te 0.000 0.000 0.500
Te 0.000 0.500 0.000
Te 0.500 0.000 0.000
Au 0.500 0.500 0.500